! SmCoIrO6 PBE with a Hubbard U relaxed; values from VASP
&SYSTEM
  ibrav = 0, nat = 18, ntyp = 4
/
ATOMIC_SPECIES
Sm 150.36 Sm.upf
Co 58.93 Co.upf
Ir 192.22 Ir.upf
O 16.00 O.upf
CELL_PARAMETERS angstrom
5.501 0.000 0.000
-2.751 4.764 0.000
0.000 0.000 8.439
ATOMIC_POSITIONS crystal
Sm 0.333 0.667 0.250
Sm 0.667 0.333 0.750
Co 0.000 0.000 0.000
Co 0.000 0.000 0.500
Ir 0.333 0.667 0.750
Ir 0.667 0.333 0.250
O 0.052 0.367 0.620
O 0.052 0.686 0.880
O 0.314 0.367 0.880
O 0.314 0.948 0.620
O 0.367 0.052 0.120
O 0.367 0.314 0.380
O 0.633 0.686 0.620
O 0.633 0.948 0.880
O 0.686 0.052 0.380
O 0.686 0.633 0.120
O 0.948 0.314 0.120
O 0.948 0.633 0.380
! - Final energy: -6.703 eV/atom
! - ρ: 7470 kg/m³